Na3Cd5Bi2 (PBE, optimized geometry); total magnetic moment = 0.0000 μB/atom; space group = No. 72; total energy = -1.748 eV per atom; E_form = -0.12 eV/atom
1.0
-6.567 6.795 3.292
6.567 -6.795 3.292
6.567 6.795 -3.292
Na Cd Bi
6 10 4
Direct
0.244 0.129 0.373
0.250 0.250 0.000
0.256 0.629 0.885
0.744 0.371 0.115
0.750 0.750 0.000
0.756 0.871 0.627
0.143 0.386 0.529
0.250 0.516 0.266
0.250 0.750 0.500
0.250 0.984 0.734
0.357 0.886 0.243
0.643 0.114 0.757
0.750 0.016 0.266
0.750 0.250 0.500
0.750 0.484 0.734
0.857 0.614 0.471
0.145 0.861 0.006
0.355 0.361 0.715
0.645 0.639 0.285
0.855 0.139 0.994


NaCdBi2 (PBE, optimized geometry); total magnetic moment = 0.0000 μB/atom; space group = No. 160; total energy = -2.563 eV per atom; E_form = -0.06 eV/atom
1.0
2.481 1.432 5.955
-2.481 1.432 5.955
0.000 -2.865 5.955
Na Cd Bi
1 1 2
Direct
0.000 0.000 0.000
0.181 0.181 0.181
0.589 0.589 0.589
0.764 0.764 0.764


Na5CdBi4 (PBE, optimized geometry); total magnetic moment = 0.0000 μB/atom; space group = No. 12; total energy = -2.494 eV per atom; E_form = -0.19 eV/atom
1.0
9.061 -2.612 0.000
9.061 2.612 0.000
-3.119 0.000 6.961
Na Cd Bi
5 1 4
Direct
0.000 0.000 0.000
0.339 0.339 0.329
0.340 0.340 0.849
0.660 0.660 0.151
0.661 0.661 0.671
0.000 0.000 0.500
0.180 0.180 0.431
0.499 0.499 0.742
0.501 0.501 0.258
0.820 0.820 0.569


NaCdBi4 (PBE, optimized geometry); total magnetic moment = 0.0000 μB/atom; space group = No. 216; total energy = -2.886 eV per atom; E_form = 0.07 eV/atom
1.0
0.000 4.700 4.700
4.700 0.000 4.700
4.700 4.700 0.000
Na Cd Bi
1 1 4
Direct
0.000 0.000 0.000
0.750 0.750 0.750
0.376 0.376 0.376
0.376 0.376 0.871
0.376 0.871 0.376
0.871 0.376 0.376


Na2Cd16Bi (PBE, optimized geometry); total magnetic moment = 0.0000 μB/atom; space group = No. 160; total energy = -1.142 eV per atom; E_form = -0.03 eV/atom
1.0
5.245 3.028 4.933
-5.245 3.028 4.933
0.000 -6.056 4.933
Na Cd Bi
2 16 1
Direct
0.000 0.000 0.000
0.309 0.309 0.309
0.008 0.008 0.476
0.008 0.476 0.008
0.164 0.639 0.639
0.299 0.299 0.815
0.299 0.815 0.299
0.337 0.654 0.959
0.337 0.959 0.654
0.476 0.008 0.008
0.546 0.546 0.546
0.639 0.164 0.639
0.639 0.639 0.164
0.654 0.337 0.959
0.654 0.959 0.337
0.815 0.299 0.299
0.959 0.337 0.654
0.959 0.654 0.337
0.759 0.759 0.759


Na16Cd12Bi (PBE, optimized geometry); total magnetic moment = 0.0000 μB/atom; space group = No. 8; total energy = -1.350 eV per atom; E_form = -0.11 eV/atom
1.0
5.880 -8.009 0.000
5.880 8.009 0.000
-5.818 0.000 8.520
Na Cd Bi
16 12 1
Direct
0.000 0.000 0.000
0.002 0.593 0.324
0.006 0.006 0.350
0.282 0.668 0.689
0.308 0.989 0.591
0.330 0.574 0.989
0.360 0.995 0.999
0.413 0.712 0.411
0.574 0.330 0.989
0.593 0.002 0.324
0.642 0.642 0.683
0.668 0.282 0.689
0.697 0.697 0.298
0.712 0.413 0.411
0.989 0.308 0.591
0.995 0.360 0.999
0.167 0.357 0.347
0.172 0.172 0.820
0.194 0.811 0.181
0.352 0.352 0.168
0.357 0.167 0.347
0.630 0.997 0.825
0.649 0.831 0.025
0.808 0.997 0.647
0.811 0.194 0.181
0.831 0.649 0.025
0.997 0.630 0.825
0.997 0.808 0.647
0.351 0.351 0.668